Entry 1:
TlHgP | GGA-PBE | optimized geometry

Cell and atoms, written as CIF:
```
data_TlHgP
_cell_length_a 3.1606
_cell_length_b 3.1606
_cell_length_c 8.6336
_cell_angle_alpha 90.00
_cell_angle_beta 90.00
_cell_angle_gamma 120.00
_space_group_name_H-M_alt 'P 3 m 1'
_space_group_IT_number 156
loop_
_space_group_symop_operation_xyz
'x,y,z'
'-y,x-y,z'
'-x+y,-x,z'
'-y,-x,z'
'-x+y,y,z'
'x,x-y,z'
loop_
_atom_site_label
_atom_site_type_symbol
_atom_site_fract_x
_atom_site_fract_y
_atom_site_fract_z
Tl1 Tl 0.0000 0.0000 0.0000
Hg1 Hg 0.6667 0.3333 0.3861
P1 P 0.3333 0.6667 0.7081
```

Summary:
The value obtained for the magnetization is 0.00 μB/f.u. The total energy is -2.18 eV/atom. The calculation puts the density of states at the Fermi level at 0.628 states/eV per atom. The value obtained for the excess energy over the best structure of this formula in the dataset is 468 meV/atom. As for the formation enthalpy at 0 K: 0.5079 eV/atom. The calculated volume is 24.897 Å³/atom.

---

Entry 2:
TlHgP2 | GGA-PBE | optimized geometry

Cell and atoms, written as CIF:
```
data_TlHgP2
_cell_length_a 3.9487
_cell_length_b 3.9487
_cell_length_c 19.4142
_cell_angle_alpha 90.00
_cell_angle_beta 90.00
_cell_angle_gamma 120.00
_space_group_name_H-M_alt 'R -3 m'
_space_group_IT_number 166
_space_group_name_Hall '-R 3 2"'
loop_
_atom_site_label
_atom_site_type_symbol
_atom_site_fract_x
_atom_site_fract_y
_atom_site_fract_z
Tl1 Tl 0.0000 0.0000 0.0000
Hg1 Hg 0.0000 0.0000 0.5000
P1 P 0.0000 0.0000 0.2431
```

Summary:
The value obtained for the magnetization is 0.00 μB/f.u. The total energy is -2.95 eV/atom. The calculation puts the density of states at the Fermi level at 0.435 states/eV per atom. The value obtained for the excess energy over the best structure of this formula in the dataset is 381 meV/atom. As for the formation enthalpy at 0 K: 0.4247 eV/atom. The calculated volume is 21.847 Å³/atom.

---

Entry 3:
TlHgP2 | GGA-PBE | optimized geometry

Cell and atoms, written as CIF:
```
data_TlHgP2
_cell_length_a 5.1586
_cell_length_b 3.9974
_cell_length_c 5.2401
_cell_angle_alpha 90.00
_cell_angle_beta 102.14
_cell_angle_gamma 90.00
_space_group_name_H-M_alt 'P 1 2/m 1'
_space_group_IT_number 10
loop_
_space_group_symop_operation_xyz
'x,y,z'
'-x,-y,-z'
'-x,y,-z'
'x,-y,z'
loop_
_atom_site_label
_atom_site_type_symbol
_atom_site_fract_x
_atom_site_fract_y
_atom_site_fract_z
Tl1 Tl 0.0000 0.0000 0.0000
Hg1 Hg 0.5000 0.0000 0.5000
P1 P 0.1924 0.5000 0.6195
```

Summary:
The value obtained for the magnetization is 0.00 μB/f.u. The total energy is -3.18 eV/atom. The calculation puts the density of states at the Fermi level at 0.269 states/eV per atom. The value obtained for the excess energy over the best structure of this formula in the dataset is 145 meV/atom. As for the formation enthalpy at 0 K: 0.1881 eV/atom. The calculated volume is 26.410 Å³/atom.

---

Entry 4:
TlHgP | GGA-PBE | optimized geometry

Cell and atoms, written as CIF:
```
data_TlHgP
_cell_length_a 4.8920
_cell_length_b 3.3478
_cell_length_c 10.0501
_cell_angle_alpha 90.00
_cell_angle_beta 100.40
_cell_angle_gamma 90.00
_space_group_name_H-M_alt 'P 1 21/m 1'
_space_group_IT_number 11
loop_
_space_group_symop_operation_xyz
'x,y,z'
'-x,-y,-z'
'-x,y+1/2,-z'
'x,-y+1/2,z'
loop_
_atom_site_label
_atom_site_type_symbol
_atom_site_fract_x
_atom_site_fract_y
_atom_site_fract_z
Tl1 Tl 0.1312 0.2500 0.2312
Hg1 Hg 0.2865 0.2500 0.5811
P1 P 0.3551 0.7500 0.0005
```

Summary:
The value obtained for the magnetization is 0.00 μB/f.u. The total energy is -2.65 eV/atom. The calculation puts the density of states at the Fermi level at 0.249 states/eV per atom. The value obtained for the excess energy over the best structure of this formula in the dataset is 0 meV/atom. As for the formation enthalpy at 0 K: 0.0397 eV/atom. The calculated volume is 26.982 Å³/atom.

---

Entry 5:
TlHgP | GGA-PBE | optimized geometry

Cell and atoms, written as CIF:
```
data_TlHgP
_cell_length_a 4.3948
_cell_length_b 5.5788
_cell_length_c 12.0830
_cell_angle_alpha 90.00
_cell_angle_beta 90.00
_cell_angle_gamma 90.00
_space_group_name_H-M_alt 'F m m 2'
_space_group_IT_number 42
_space_group_name_Hall 'F 2 -2'
loop_
_atom_site_label
_atom_site_type_symbol
_atom_site_fract_x
_atom_site_fract_y
_atom_site_fract_z
Tl1 Tl 0.0000 0.0000 0.0000
Hg1 Hg 0.0000 0.0000 0.2963
P1 P 0.0000 0.0000 0.6703
```

Summary:
The value obtained for the magnetization is 0.00 μB/f.u. The total energy is -2.29 eV/atom. The calculation puts the density of states at the Fermi level at 0.566 states/eV per atom. The value obtained for the excess energy over the best structure of this formula in the dataset is 367 meV/atom. As for the formation enthalpy at 0 K: 0.4065 eV/atom. The calculated volume is 24.687 Å³/atom.

---

Entry 6:
TlHgP2 | GGA-PBE | optimized geometry

Cell and atoms, written as CIF:
```
data_TlHgP2
_cell_length_a 3.3677
_cell_length_b 3.3677
_cell_length_c 29.1343
_cell_angle_alpha 90.00
_cell_angle_beta 90.00
_cell_angle_gamma 120.00
_space_group_name_H-M_alt 'R 3 m'
_space_group_IT_number 160
_space_group_name_Hall 'R 3 -2"'
loop_
_atom_site_label
_atom_site_type_symbol
_atom_site_fract_x
_atom_site_fract_y
_atom_site_fract_z
Tl1 Tl 0.0000 0.0000 0.0000
Hg1 Hg 0.0000 0.0000 0.2358
P1 P 0.0000 0.0000 0.4748
P2 P 0.0000 0.0000 0.7669
```

Summary:
The value obtained for the magnetization is 0.00 μB/f.u. The total energy is -3.33 eV/atom. The calculation puts the density of states at the Fermi level at 0.407 states/eV per atom. The value obtained for the excess energy over the best structure of this formula in the dataset is 0 meV/atom. As for the formation enthalpy at 0 K: 0.0433 eV/atom. The calculated volume is 23.847 Å³/atom.

---

Entry 7:
TlV2HgP | GGA-PBE | optimized geometry

Cell and atoms, written as CIF:
```
data_TlV2HgP
_cell_length_a 5.1869
_cell_length_b 5.1869
_cell_length_c 5.2336
_cell_angle_alpha 90.00
_cell_angle_beta 90.00
_cell_angle_gamma 90.00
_space_group_name_H-M_alt 'P 4/m m m'
_space_group_IT_number 123
_space_group_name_Hall '-P 4 2'
loop_
_atom_site_label
_atom_site_type_symbol
_atom_site_fract_x
_atom_site_fract_y
_atom_site_fract_z
Tl1 Tl 0.0000 0.0000 0.0000
V1 V 0.0000 0.5000 0.0000
Hg1 Hg 0.0000 0.0000 0.5000
P1 P 0.5000 0.5000 0.5000
```

Summary:
The value obtained for the magnetization is 5.30 μB/f.u. The total energy is -3.59 eV/atom. The calculation puts the density of states at the Fermi level at 1.634 states/eV per atom. The value obtained for the excess energy over the best structure of this formula in the dataset is 1204 meV/atom. As for the formation enthalpy at 0 K: 1.6726 eV/atom. The calculated volume is 28.161 Å³/atom.

---

Entry 8:
TlV2HgP | GGA-PBE | optimized geometry

Cell and atoms, written as CIF:
```
data_TlV2HgP
_cell_length_a 4.5854
_cell_length_b 4.5854
_cell_length_c 5.0241
_cell_angle_alpha 90.00
_cell_angle_beta 90.00
_cell_angle_gamma 90.00
_space_group_name_H-M_alt 'P 4/m m m'
_space_group_IT_number 123
_space_group_name_Hall '-P 4 2'
loop_
_atom_site_label
_atom_site_type_symbol
_atom_site_fract_x
_atom_site_fract_y
_atom_site_fract_z
Tl1 Tl 0.0000 0.0000 0.0000
V1 V 0.0000 0.5000 0.5000
Hg1 Hg 0.5000 0.5000 0.0000
P1 P 0.5000 0.5000 0.5000
```

Summary:
The value obtained for the magnetization is 3.94 μB/f.u. The total energy is -4.79 eV/atom. The calculation puts the density of states at the Fermi level at 1.056 states/eV per atom. The value obtained for the excess energy over the best structure of this formula in the dataset is 0 meV/atom. As for the formation enthalpy at 0 K: 0.4687 eV/atom. The calculated volume is 21.128 Å³/atom.